# 1
This record from the Alexandria database describes crystalline Sm3Pt4Rh4 at its relaxed geometry. The functional is PBE.

Properties
E_form	-0.4469	eV/atom
crystal system	cubic

Cell lengths 7.7602, 7.7602, 7.7602 Å; angles 90.00, 90.00, 90.00 degrees
Space group I-43m (No. 217)
Symmetry-distinct sites (fractional):
Sm (0.0000, 0.0000, 0.5000) x6
Pt (0.2031, 0.2031, 0.7969) x8
Rh (0.1172, 0.1172, 0.1172) x8

# 2
This record from the Alexandria database describes crystalline Li2GaNi2 at its relaxed geometry. The functional is PBE.

Properties
excess energy over the best structure of this formula in the dataset	346	meV/atom
E_form	0.1209	eV/atom
crystal system	tetragonal

Cell lengths 3.1436, 3.1436, 12.9716 Å; angles 90.00, 90.00, 90.00 degrees
Space group I4/mmm (No. 139)
Symmetry-distinct sites (fractional):
Li (0.0000, 0.5000, 0.2500) x4
Ga (0.0000, 0.0000, 0.0000) x2
Ni (0.0000, 0.0000, 0.4052) x4

# 3
This record from the Alexandria database describes crystalline Ba3GaBi3 at its relaxed geometry. The functional is PBE.

Properties
E_form	-0.7766	eV/atom
crystal system	orthorhombic

Cell lengths 21.8622, 7.3756, 14.5079 Å; angles 90.00, 90.00, 90.00 degrees
Space group Cmce (No. 64)
Symmetry-distinct sites (fractional):
Ba (0.0000, 0.1973, 0.1409) x8
Ba (0.1733, 0.2041, 0.8737) x16
Ga (0.0871, 0.0000, 0.5000) x8
Bi (0.0000, 0.2036, 0.3928) x8
Bi (0.1609, 0.2096, 0.6233) x16

# 4
This record from the Alexandria database describes crystalline Ta3Ni8Pd2 at its relaxed geometry. The functional is PBE.

Properties
E_form	-0.0624	eV/atom
crystal system	trigonal

Cell lengths 4.6782, 4.6782, 28.1567 Å; angles 90.00, 90.00, 120.00 degrees
Space group R-3m (No. 166, hexagonal axes)
Symmetry-distinct sites (fractional):
Ta (0.0000, 0.0000, 0.0000) x3
Ta (0.0000, 0.0000, 0.1864) x6
Ni (0.0000, 0.0000, 0.2727) x6
Ni (0.9996, 0.4998, 0.2301) x18
Pd (0.0000, 0.0000, 0.3594) x6

# 5
This record from the Alexandria database describes crystalline OsRhO2 at its relaxed geometry. The functional is PBE.

Properties
excess energy over the best structure of this formula in the dataset	993	meV/atom
crystal system	cubic
formation energy without anion corrections	0.72	eV per atom

Cell lengths 5.5508, 5.5508, 5.5508 Å; angles 90.00, 90.00, 90.00 degrees
Space group Fm-3m (No. 225)
Symmetry-distinct sites (fractional):
Os (0.0000, 0.0000, 0.0000) x4
Rh (0.0000, 0.0000, 0.5000) x4
O (0.2500, 0.2500, 0.2500) x8

# 6
This record from the Alexandria database describes crystalline Ce2EuZr at its relaxed geometry. The functional is PBE.

Properties
E_form	0.2655	eV/atom
crystal system	tetragonal

Cell lengths 4.0220, 4.0220, 7.2960 Å; angles 90.00, 90.00, 90.00 degrees
Space group P4/mmm (No. 123)
Symmetry-distinct sites (fractional):
Ce (0.0000, 0.0000, 0.2056) x2
Eu (0.5000, 0.5000, 0.5000) x1
Zr (0.5000, 0.5000, 0.0000) x1

Number 1: theoretical density 11.68 g/cm3, spin magnetization 0.00 μB/cell. Number 2: theoretical density 5.21 g/cm3, spin magnetization 0.00 μB/cell. Number 3: theoretical density 6.30 g/cm3, spin magnetization 0.00 μB/cell. Number 4: theoretical density 11.44 g/cm3, spin magnetization 0.00 μB/cell. Number 5: theoretical density 12.63 g/cm3, spin magnetization 0.00 μB/cell. Number 6: theoretical density 7.36 g/cm3, spin magnetization 6.29 μB/cell.